one:
The following is a DFT calculation (GGA-PBE) of crystalline SiTeCl2 at its relaxed geometry.

```
SiTeCl2
1.0
-2.866 3.355 2.101
-3.244 -3.476 1.129
4.659 -0.457 1.401
Cl Si Te
2 1 1
Cartesian
-0.820 -1.997 2.072
0.000 0.000 0.000
-3.055 -0.061 1.615
-0.631 1.419 2.558
```

## Properties
- spin magnetization (μB/atom) = 0.000

two:
The following is a DFT calculation (GGA-PBE) of crystalline SiTeCl2 at its relaxed geometry.

```
SiTeCl2
1.0
-0.009 -3.952 1.226
-1.120 -1.177 -3.802
7.382 -0.630 -1.979
Cl Te Si
2 1 1
Cartesian
1.802 -2.766 -1.923
6.749 -0.576 -1.810
4.078 -2.961 -2.533
4.696 -0.401 -1.259
```

## Properties
- spin magnetization (μB/atom) = 0.000

two is the most stable structure; the next one sits 46.3 kJ/mol of atoms above it.

one:
The following is a DFT calculation (GGA-PBE) of crystalline ScFeBr2 at its relaxed geometry.

```
ScFeBr2
1.0
-1.736 -5.140 1.083
3.047 1.350 4.416
-2.016 -0.083 3.054
Br Sc Fe
2 1 1
Cartesian
0.655 -1.895 2.749
0.000 0.000 0.000
0.515 0.633 3.735
-1.876 -2.611 2.068
```

## Properties
- spin magnetization (μB/atom) = 0.570

two:
The following is a DFT calculation (GGA-PBE) of crystalline ScFeBr2 at its relaxed geometry.

```
ScFeBr2
1.0
5.878 -0.015 0.004
2.202 5.450 -0.004
-3.144 -4.049 2.876
Br Sc Fe
2 1 1
Cartesian
0.269 0.181 0.000
3.094 -0.871 1.440
1.635 2.117 1.436
3.978 2.676 0.000
```

## Properties
- spin magnetization (μB/atom) = 0.744

two is the most stable structure; the next one sits 7.9 kJ/mol of atoms above it.